## Na2V3O7 (PBE with a Hubbard U)

Data for crystalline Na2V3O7 at its relaxed geometry.

a = 13.4978 Å, b = 13.4978 Å, c = 5.6831 Å
α = 90.00°, β = 90.00°, γ = 24.86°
Positions (direct):
Na: 0.0062 0.7921 0.5000
Na: 0.2079 0.9938 0.5000
Na: 0.7921 0.0062 0.0000
Na: 0.9938 0.2079 0.0000
V: 0.0673 0.3705 0.6546
V: 0.3317 0.6683 0.8818
V: 0.3705 0.0673 0.1546
V: 0.6295 0.9327 0.6546
V: 0.6683 0.3317 0.3818
V: 0.9327 0.6295 0.1546
O: 0.0066 0.6834 0.1945
O: 0.1238 0.7719 0.8238
O: 0.1296 0.3592 0.3329
O: 0.2281 0.8762 0.8238
O: 0.3166 0.9934 0.1945
O: 0.3592 0.1296 0.8329
O: 0.4186 0.5814 0.1920
O: 0.5814 0.4186 0.6920
O: 0.6408 0.8704 0.3329
O: 0.6834 0.0066 0.6945
O: 0.7719 0.1238 0.3238
O: 0.8704 0.6408 0.8329
O: 0.8762 0.2281 0.3238
O: 0.9934 0.3166 0.6945

VASP energy   -0.2496 hartree per atom
Energy above the most stable polymorph in this dataset   213.9 kJ/mol of formula units